[1]
# NpHg2RhO6 (PBE, optimized geometry)
# - SG = P2_1/c
# - VASP energy (eV per atom) = -6.32
# - formation energy (no corrections) (kJ/mol of formula units) = -1208
# - spin magnetization (μB per formula unit) = 1.67
data_NpHg2RhO6
_chemical_formula_sum 'Np2 Hg4 Rh2 O12'
_cell_length_a 5.692
_cell_length_b 5.746
_cell_length_c 8.128
_cell_angle_alpha 90.00
_cell_angle_beta 90.42
_cell_angle_gamma 90.00
_space_group_name_H-M_alt 'P 1'
_space_group_IT_number 1
_space_group_name_Hall 'P 1'
loop_
_atom_site_label
_atom_site_fract_x
_atom_site_fract_y
_atom_site_fract_z
Hg1 0.003 0.981 0.248
Hg2 0.497 0.481 0.252
Np1 0.000 0.500 0.000
Rh1 0.500 0.000 0.000
O1 0.704 0.282 0.952
O2 0.783 0.795 0.954
O3 0.796 0.782 0.548
Np2 0.500 0.000 0.500
O4 0.204 0.218 0.452
O5 0.283 0.705 0.454
O6 0.908 0.520 0.257
O7 0.408 0.980 0.757
O8 0.592 0.020 0.243
O9 0.717 0.295 0.546
O10 0.092 0.480 0.743
Rh2 0.000 0.500 0.500
Hg3 0.997 0.019 0.752
O11 0.296 0.718 0.048
O12 0.217 0.205 0.046
Hg4 0.503 0.519 0.748



[2]
# CsBa2MgAu (PBE, optimized geometry)
# - SG = P4/mmm
# - VASP energy (eV per atom) = -2.10
# - spin magnetization (μB per formula unit) = 0.26
data_CsBa2MgAu
_chemical_formula_sum 'Cs1 Ba2 Mg1 Au1'
_cell_length_a 6.581
_cell_length_b 6.581
_cell_length_c 5.507
_cell_angle_alpha 90.00
_cell_angle_beta 90.00
_cell_angle_gamma 90.00
_space_group_name_H-M_alt 'P 1'
_space_group_IT_number 1
_space_group_name_Hall 'P 1'
loop_
_atom_site_label
_atom_site_fract_x
_atom_site_fract_y
_atom_site_fract_z
Mg1 0.000 0.000 0.500
Cs1 0.500 0.500 0.500
Au1 0.000 0.000 0.000
Ba1 0.000 0.500 0.000
Ba2 0.500 0.000 0.000



Q: Number 1 is which compound?
A: NpHg2RhO6